1) Pb2WBr: optimized geometry, GGA-PBE.

Output
**Space-group type**: Pmmm

Unit cell a=3.188 b=5.213 c=5.982 alpha=90.00 beta=90.00 gamma=90.00
Element x y z (fractional)
Pb (0.000, 0.000, 0.000)
Pb (0.500, 0.500, 0.500)
W (0.000, 0.000, 0.500)
Br (0.500, 0.500, 0.000)

2) Pb2WBr: optimized geometry, GGA-PBE.

Output
**Space-group type**: I4/mmm

Unit cell a=5.644 b=5.644 c=5.644 alpha=131.14 beta=131.14 gamma=71.60
Element x y z (fractional)
Pb (0.250, 0.750, 0.500)
Pb (0.750, 0.250, 0.500)
W (0.000, 0.000, 0.000)
Br (0.500, 0.500, 0.000)

Relative to the most stable one, in meV/atom, the structures come out at 1) 0; 2) 321.

1) AlSiAs2: optimized geometry, GGA-PBE.

Output
**Space-group type**: Immm

Unit cell a=6.091 b=6.091 c=6.091 alpha=145.51 beta=143.46 gamma=51.12
Element x y z (fractional)
Al (0.000, 0.000, 0.000)
Si (0.500, 0.500, 0.000)
As (0.326, 0.826, 0.500)
As (0.674, 0.174, 0.500)

2) AlSiAs2: optimized geometry, GGA-PBE.

Output
**Space-group type**: P4mm

Unit cell a=3.614 b=3.614 c=5.987 alpha=90.00 beta=90.00 gamma=90.00
Element x y z (fractional)
Al (0.000, 0.000, 0.000)
Si (0.500, 0.500, 0.508)
As (0.000, 0.000, 0.423)
As (0.500, 0.500, 0.908)

Relative to the most stable one, in meV/atom, the structures come out at 1) 256; 2) 0.

1) Ru2BrCl: optimized geometry, GGA-PBE.

Output
**Space-group type**: Cm

Unit cell a=7.795 b=7.795 c=3.789 alpha=103.85 beta=103.85 gamma=22.16
Element x y z (fractional)
Ru (0.000, 0.000, 0.000)
Ru (0.639, 0.639, 0.137)
Br (0.208, 0.208, 0.705)
Cl (0.448, 0.448, 0.449)

2) Ru2BrCl: optimized geometry, GGA-PBE.

Output
**Space-group type**: F-43m

Unit cell a=4.573 b=4.573 c=4.573 alpha=60.00 beta=60.00 gamma=60.00
Element x y z (fractional)
Ru (0.000, 0.000, 0.000)
Ru (0.250, 0.250, 0.250)
Br (0.500, 0.500, 0.500)
Cl (0.750, 0.750, 0.750)

Relative to the most stable one, in meV/atom, the structures come out at 1) 0; 2) 408.

1) AlTeW2: optimized geometry, GGA-PBE.

Output
**Space-group type**: P2/m

Unit cell a=2.858 b=4.184 c=6.533 alpha=90.00 beta=94.35 gamma=90.00
Element x y z (fractional)
Al (0.000, 0.000, 0.000)
Te (0.500, 0.000, 0.500)
W (0.373, 0.500, 0.816)
W (0.627, 0.500, 0.184)

2) AlTeW2: optimized geometry, GGA-PBE.

Output
**Space-group type**: Immm

Unit cell a=5.354 b=5.354 c=5.354 alpha=143.87 beta=128.04 gamma=64.91
Element x y z (fractional)
Al (0.000, 0.000, 0.000)
Te (0.500, 0.500, 0.000)
W (0.242, 0.742, 0.500)
W (0.758, 0.258, 0.500)

Relative to the most stable one, in meV/atom, the structures come out at 1) 0; 2) 23.

1) La4Sm4Ho: optimized geometry, GGA-PBE.

Output
**Space-group type**: I4/mmm

Unit cell a=8.186 b=8.186 c=8.186 alpha=95.81 beta=95.81 gamma=142.89
Element x y z (fractional)
La (0.167, 0.167, 0.333)
La (0.167, 0.833, 0.000)
La (0.833, 0.167, 0.000)
La (0.833, 0.833, 0.667)
Sm (0.166, 0.500, 0.666)
Sm (0.500, 0.166, 0.666)
Sm (0.500, 0.834, 0.334)
Sm (0.834, 0.500, 0.334)
Ho (0.500, 0.500, 0.000)

2) La4Sm4Ho: optimized geometry, GGA-PBE.

Output
**Space-group type**: Fmm2

Unit cell a=12.930 b=12.688 c=5.305 alpha=80.63 beta=75.49 gamma=23.88
Element x y z (fractional)
La (0.000, 0.000, 0.000)
La (0.228, 0.228, 0.272)
La (0.464, 0.464, 0.536)
La (0.728, 0.728, 0.772)
Sm (0.046, 0.698, 0.302)
Sm (0.371, 0.854, 0.629)
Sm (0.698, 0.046, 0.954)
Sm (0.854, 0.371, 0.146)
Ho (0.320, 0.320, 0.680)

Relative to the most stable one, in meV/atom, the structures come out at 1) 0; 2) 427.